No. 1
The following is a PBE calculation of an optimized crystal structure of Y3FeSi3, from the Alexandria database. Values from VASP.

Summary:
- Fermi-level density of states: 10.05 states/eV per cell
- E: -0.519 Ry/atom
- Crystal system: monoclinic
- Space-group type: C2/m (12)

Structure (Quantum ESPRESSO input):
```
&SYSTEM
  ibrav = 0, nat = 14, ntyp = 3
/
ATOMIC_SPECIES
Y 88.91 Y.upf
Fe 55.84 Fe.upf
Si 28.09 Si.upf
ATOMIC_POSITIONS crystal
Y 0.0238 0.0238 0.3796
Y 0.1015 0.1015 0.9194
Y 0.2481 0.2481 0.2293
Y 0.7519 0.7519 0.7707
Y 0.8985 0.8985 0.0806
Y 0.9762 0.9762 0.6204
Fe 0.2539 0.2539 0.5842
Fe 0.7461 0.7461 0.4158
Si 0.3525 0.3525 0.4560
Si 0.3874 0.3874 0.9244
Si 0.4434 0.4434 0.7574
Si 0.5566 0.5566 0.2426
Si 0.6126 0.6126 0.0756
Si 0.6475 0.6475 0.5440
CELL_PARAMETERS angstrom
5.2765 -2.0817 0.0000
5.2765 2.0817 0.0000
-4.9036 0.0000 12.6049
```

No. 2
The following is a PBE calculation of an optimized crystal structure of Ho6ErTm2Sc3, from the Alexandria database. Values from VASP.

Summary:
- Fermi-level density of states: 18.13 states/eV per cell
- E: -0.364 Ry/atom
- Formation energy: 0.044 eV per atom
- Crystal system: monoclinic
- Space-group type: C2/m (12)

Structure (Quantum ESPRESSO input):
```
&SYSTEM
  ibrav = 0, nat = 12, ntyp = 4
/
ATOMIC_SPECIES
Ho 164.93 Ho.upf
Er 167.26 Er.upf
Tm 168.93 Tm.upf
Sc 44.96 Sc.upf
ATOMIC_POSITIONS crystal
Ho 0.0860 0.4194 0.7577
Ho 0.2474 0.2474 0.2423
Ho 0.4194 0.0860 0.7577
Ho 0.5806 0.9140 0.2423
Ho 0.7526 0.7526 0.7577
Ho 0.9140 0.5806 0.2423
Er 0.0000 0.0000 0.5000
Tm 0.3333 0.6667 0.5000
Tm 0.6667 0.3333 0.5000
Sc 0.1668 0.8332 0.0000
Sc 0.5000 0.5000 0.0000
Sc 0.8332 0.1668 0.0000
CELL_PARAMETERS angstrom
2.9989 -5.1885 0.0000
2.9989 5.1885 0.0000
-1.9930 0.0000 11.2052
```

No. 3
The following is a PBE calculation of an optimized crystal structure of FeC2S2, from the Alexandria database. Values from VASP.

Summary:
- Energy above the most stable polymorph in this dataset: 409 meV/atom
- Fermi-level density of states: 3.28 states/eV per cell
- E: -0.388 Ry/atom
- Crystal system: tetragonal
- Space-group type: I4/mmm (139)

Structure (Quantum ESPRESSO input):
```
&SYSTEM
  ibrav = 0, nat = 5, ntyp = 3
/
ATOMIC_SPECIES
Fe 55.84 Fe.upf
C 12.01 C.upf
S 32.06 S.upf
ATOMIC_POSITIONS crystal
Fe 0.0000 0.0000 0.0000
C 0.2500 0.7500 0.5000
C 0.7500 0.2500 0.5000
S 0.3053 0.3053 0.0000
S 0.6947 0.6947 0.0000
CELL_PARAMETERS angstrom
-1.9772 1.9772 3.6513
1.9772 -1.9772 3.6513
1.9772 1.9772 -3.6513
```

No. 4
The following is a PBE calculation of an optimized crystal structure of HfMnTe3, from the Alexandria database. Values from VASP.

Summary:
- Energy above the most stable polymorph in this dataset: 676 meV/atom
- Fermi-level density of states: 2.79 states/eV per cell
- E: -0.403 Ry/atom
- Crystal system: cubic
- Space-group type: Pm-3m (221)

Structure (Quantum ESPRESSO input):
```
&SYSTEM
  ibrav = 0, nat = 5, ntyp = 3
/
ATOMIC_SPECIES
Hf 178.49 Hf.upf
Mn 54.94 Mn.upf
Te 127.60 Te.upf
ATOMIC_POSITIONS crystal
Hf 0.0000 0.0000 0.0000
Mn 0.5000 0.5000 0.5000
Te 0.0000 0.0000 0.5000
Te 0.0000 0.5000 0.0000
Te 0.5000 0.0000 0.0000
CELL_PARAMETERS angstrom
5.5490 0.0000 0.0000
0.0000 5.5490 0.0000
0.0000 0.0000 5.5490
```